# V4Au (PBE-GGA, relaxed)
data_V4Au
_chemical_formula_sum 'V16 Au4'
_cell_length_a 4.9619
_cell_length_b 8.3750
_cell_length_c 8.3750
_cell_angle_alpha 90.00
_cell_angle_beta 90.00
_cell_angle_gamma 90.00
_symmetry_space_group_name_H-M 'P 1'
_symmetry_Int_Tables_number 1
loop_
_symmetry_equiv_pos_as_xyz
'x,y,z'
loop_
_atom_site_label
_atom_site_fract_x
_atom_site_fract_y
_atom_site_fract_z
_atom_site_occupancy
Au1 0.0000 0.8696 0.3696 1
V1 0.7751 0.0000 0.0000 1
V2 0.5000 0.7040 0.3898 1
V3 0.5000 0.7960 0.8898 1
V4 0.5000 0.3999 0.8999 1
V5 0.2249 0.0000 0.0000 1
V6 0.5000 0.6102 0.7040 1
V7 0.7751 0.5000 0.5000 1
V8 0.5000 0.2040 0.1102 1
Au2 0.0000 0.3696 0.1304 1
V9 0.5000 0.8999 0.6001 1
Au3 0.0000 0.6304 0.8696 1
Au4 0.0000 0.1304 0.6304 1
V10 0.5000 0.8898 0.2040 1
V11 0.5000 0.6001 0.1001 1
V12 0.5000 0.3898 0.2960 1
V13 0.5000 0.2960 0.6102 1
V14 0.5000 0.1001 0.3999 1
V15 0.2249 0.5000 0.5000 1
V16 0.5000 0.1102 0.7960 1
# energy relative to the elements	0.90	eV per atom
# energy	-140.931	eV/cell
# space group	P4/mbm, No. 127

---

# VAu (PBE-GGA, relaxed)
data_VAu
_chemical_formula_sum 'V8 Au8'
_cell_length_a 10.8854
_cell_length_b 10.8854
_cell_length_c 2.7591
_cell_angle_alpha 90.00
_cell_angle_beta 90.00
_cell_angle_gamma 90.00
_symmetry_space_group_name_H-M 'P 1'
_symmetry_Int_Tables_number 1
loop_
_symmetry_equiv_pos_as_xyz
'x,y,z'
loop_
_atom_site_label
_atom_site_fract_x
_atom_site_fract_y
_atom_site_fract_z
_atom_site_occupancy
Au1 0.4747 0.3097 0.0000 1
V1 0.6962 0.8144 0.5000 1
Au2 0.0253 0.1903 0.5000 1
V2 0.1856 0.6962 0.5000 1
V3 0.1962 0.3144 0.0000 1
V4 0.8144 0.3038 0.5000 1
Au3 0.3097 0.5253 0.0000 1
V5 0.6856 0.1962 0.0000 1
Au4 0.1903 0.9747 0.5000 1
Au5 0.9747 0.8097 0.5000 1
Au6 0.5253 0.6903 0.0000 1
Au7 0.8097 0.0253 0.5000 1
Au8 0.6903 0.4747 0.0000 1
V6 0.3038 0.1856 0.5000 1
V7 0.3144 0.8038 0.0000 1
V8 0.8038 0.6856 0.0000 1
# energy relative to the elements	0.43	eV per atom
# energy	-92.295	eV/cell
# space group	I4/m, No. 87

---

# VAu (PBE-GGA, relaxed)
data_VAu
_chemical_formula_sum 'V4 Au4'
_cell_length_a 5.2416
_cell_length_b 5.2416
_cell_length_c 5.4341
_cell_angle_alpha 90.00
_cell_angle_beta 90.00
_cell_angle_gamma 90.00
_symmetry_space_group_name_H-M 'P 1'
_symmetry_Int_Tables_number 1
loop_
_symmetry_equiv_pos_as_xyz
'x,y,z'
loop_
_atom_site_label
_atom_site_fract_x
_atom_site_fract_y
_atom_site_fract_z
_atom_site_occupancy
Au1 0.8223 0.8223 0.0000 1
V1 0.1362 0.1362 0.5000 1
Au2 0.6777 0.3223 0.5000 1
Au3 0.3223 0.6777 0.5000 1
V2 0.3638 0.6362 0.0000 1
V3 0.8638 0.8638 0.5000 1
Au4 0.1777 0.1777 0.0000 1
V4 0.6362 0.3638 0.0000 1
# energy relative to the elements	0.50	eV per atom
# energy	-45.555	eV/cell
# space group	P4_2/mnm, No. 136

---

# VAu4 (PBE-GGA, relaxed)
data_VAu4
_chemical_formula_sum 'V1 Au4'
_cell_length_a 2.8688
_cell_length_b 2.8688
_cell_length_c 10.5906
_cell_angle_alpha 97.78
_cell_angle_beta 97.78
_cell_angle_gamma 90.00
_symmetry_space_group_name_H-M 'P 1'
_symmetry_Int_Tables_number 1
loop_
_symmetry_equiv_pos_as_xyz
'x,y,z'
loop_
_atom_site_label
_atom_site_fract_x
_atom_site_fract_y
_atom_site_fract_z
_atom_site_occupancy
Au1 0.5909 0.5909 0.1818 1
V1 0.0000 0.0000 0.0000 1
Au2 0.8025 0.8025 0.6050 1
Au3 0.4091 0.4091 0.8182 1
Au4 0.1975 0.1975 0.3950 1
# energy relative to the elements	0.00	eV per atom
# energy	-22.205	eV/cell
# space group	I4/mmm, No. 139

---

# VAu (PBE-GGA, relaxed)
data_VAu
_chemical_formula_sum 'V2 Au2'
_cell_length_a 4.4746
_cell_length_b 4.4746
_cell_length_c 5.3399
_cell_angle_alpha 90.00
_cell_angle_beta 90.00
_cell_angle_gamma 120.00
_symmetry_space_group_name_H-M 'P 1'
_symmetry_Int_Tables_number 1
loop_
_symmetry_equiv_pos_as_xyz
'x,y,z'
loop_
_atom_site_label
_atom_site_fract_x
_atom_site_fract_y
_atom_site_fract_z
_atom_site_occupancy
Au1 0.6667 0.3333 0.2500 1
V1 0.3333 0.6667 0.2500 1
Au2 0.3333 0.6667 0.7500 1
V2 0.6667 0.3333 0.7500 1
# energy relative to the elements	0.84	eV per atom
# energy	-21.418	eV/cell
# space group	P6_3/mmc, No. 194

---

# VAu (PBE-GGA, relaxed)
data_VAu
_chemical_formula_sum 'V4 Au4'
_cell_length_a 5.7811
_cell_length_b 5.7811
_cell_length_c 5.7811
_cell_angle_alpha 90.00
_cell_angle_beta 90.00
_cell_angle_gamma 90.00
_symmetry_space_group_name_H-M 'P 1'
_symmetry_Int_Tables_number 1
loop_
_symmetry_equiv_pos_as_xyz
'x,y,z'
loop_
_atom_site_label
_atom_site_fract_x
_atom_site_fract_y
_atom_site_fract_z
_atom_site_occupancy
Au1 0.5000 0.0000 0.5000 1
V1 0.7500 0.7500 0.2500 1
Au2 0.0000 0.5000 0.5000 1
V2 0.2500 0.7500 0.7500 1
Au3 0.0000 0.0000 0.0000 1
V3 0.2500 0.2500 0.2500 1
V4 0.7500 0.2500 0.7500 1
Au4 0.5000 0.5000 0.0000 1
# energy relative to the elements	1.05	eV per atom
# energy	-41.205	eV/cell
# space group	F-43m, No. 216

---

Among the records above, which one has the highest energy relative to the elements?
number 6

---

Which of these has the highest energy relative to the elements?
number 6

---

Repeat the third record exactly.
# VAu (PBE-GGA, relaxed)
data_VAu
_chemical_formula_sum 'V4 Au4'
_cell_length_a 5.2416
_cell_length_b 5.2416
_cell_length_c 5.4341
_cell_angle_alpha 90.00
_cell_angle_beta 90.00
_cell_angle_gamma 90.00
_symmetry_space_group_name_H-M 'P 1'
_symmetry_Int_Tables_number 1
loop_
_symmetry_equiv_pos_as_xyz
'x,y,z'
loop_
_atom_site_label
_atom_site_fract_x
_atom_site_fract_y
_atom_site_fract_z
_atom_site_occupancy
Au1 0.8223 0.8223 0.0000 1
V1 0.1362 0.1362 0.5000 1
Au2 0.6777 0.3223 0.5000 1
Au3 0.3223 0.6777 0.5000 1
V2 0.3638 0.6362 0.0000 1
V3 0.8638 0.8638 0.5000 1
Au4 0.1777 0.1777 0.0000 1
V4 0.6362 0.3638 0.0000 1
# energy relative to the elements	0.50	eV per atom
# energy	-45.555	eV/cell
# space group	P4_2/mnm, No. 136